No. 1
VASP calculation (GGA-PBE) on crystalline TlInSn2H at its relaxed geometry.

Calculated values
Energy above the most stable polymorph in this dataset (eV per atom): 0.0000

extended XYZ file:
```
5
Lattice="4.7000 0.0000 0.0000 0.0000 4.7000 0.0000 0.0000 0.0000 5.3489" Properties=species:S:1:pos:R:3 pbc="T T T"
Tl 0.0000 0.0000 0.0000
In 2.3500 2.3500 0.0000
Sn 0.0000 2.3500 2.6745
Sn 2.3500 0.0000 2.6745
H 0.0000 0.0000 2.6745
```



No. 2
VASP calculation (GGA-PBE) on crystalline YIn2SnH at its relaxed geometry.

Calculated values
E (eV per atom): -4.045

extended XYZ file:
```
5
Lattice="4.8231 0.0000 0.0000 0.0000 4.8231 0.0000 0.0000 0.0000 4.5570" Properties=species:S:1:pos:R:3 pbc="T T T"
Y 0.0000 0.0000 0.0000
In 0.0000 2.4115 2.2785
In 2.4115 0.0000 2.2785
Sn 2.4115 2.4115 0.0000
H 0.0000 0.0000 2.2785
```



No. 3
VASP calculation (GGA-PBE) on crystalline ZnInSn2H at its relaxed geometry.

Calculated values
E (eV per atom): -2.898

extended XYZ file:
```
5
Lattice="5.5892 0.0000 0.0000 0.0000 5.5892 0.0000 0.0000 0.0000 3.3990" Properties=species:S:1:pos:R:3 pbc="T T T"
Zn 0.0000 0.0000 0.0000
In 2.7946 2.7946 1.6995
Sn 0.0000 2.7946 0.0000
Sn 2.7946 0.0000 0.0000
H 0.0000 0.0000 1.6995
```



No. 4
VASP calculation (GGA-PBE) on crystalline ZnIn2SnH at its relaxed geometry.

Calculated values
E (eV per atom): -2.637

extended XYZ file:
```
5
Lattice="5.5696 0.0000 0.0000 0.0000 5.5696 0.0000 0.0000 0.0000 3.4522" Properties=species:S:1:pos:R:3 pbc="T T T"
Zn 0.0000 0.0000 0.0000
In 0.0000 2.7848 0.0000
In 2.7848 0.0000 0.0000
Sn 2.7848 2.7848 1.7261
H 0.0000 0.0000 1.7261
```



No. 5
VASP calculation (GGA-PBE) on crystalline Sr4In2H at its relaxed geometry.

Calculated values
Energy above the most stable polymorph in this dataset (eV per atom): 0.0205

extended XYZ file:
```
14
Lattice="5.2805 0.0000 0.0000 0.0000 5.2805 0.0000 0.0000 0.0000 17.3081" Properties=species:S:1:pos:R:3 pbc="T T T"
Sr 0.0000 0.0000 3.1193
Sr 0.0000 0.0000 14.1889
Sr 0.0000 2.6402 0.0000
Sr 0.0000 2.6402 8.6541
Sr 2.6402 0.0000 0.0000
Sr 2.6402 0.0000 8.6541
Sr 2.6402 2.6402 5.5348
Sr 2.6402 2.6402 11.7733
In 0.0000 0.0000 6.4931
In 0.0000 0.0000 10.8150
In 2.6402 2.6402 2.1609
In 2.6402 2.6402 15.1472
H 0.0000 0.0000 0.0000
H 2.6402 2.6402 8.6541
```



No. 6
VASP calculation (GGA-PBE) on crystalline Sr12In3H5 at its relaxed geometry.

Calculated values
E (eV per atom): -2.544

extended XYZ file:
```
80
Lattice="-8.7367 8.7367 8.7367 8.7367 -8.7367 8.7367 8.7367 8.7367 -8.7367" Properties=species:S:1:pos:R:3 pbc="T T T"
Sr 2.6976 -0.6336 0.9676
Sr 10.4075 5.3360 -5.0020
Sr 11.4343 0.6336 0.9676
Sr 10.4075 -3.4007 5.0020
Sr 8.1031 -0.9676 2.6976
Sr 13.7387 -1.6708 3.4007
Sr 0.9676 2.6976 -0.6336
Sr 12.1375 3.7348 -1.6708
Sr 5.3360 5.0020 -1.6708
Sr 7.7691 2.6976 0.6336
Sr -0.6336 0.9676 2.6976
Sr 5.0020 -1.6708 5.3360
Sr 8.1031 7.7691 -2.6976
Sr 5.0020 1.6708 3.4007
Sr 5.3360 -5.0020 10.4075
Sr 7.7691 -2.6976 8.1031
Sr 3.4007 5.0020 1.6708
Sr 9.7044 6.0391 0.6336
Sr 5.0020 10.4075 -3.4007
Sr 8.1031 0.9676 6.0391
Sr 2.6976 8.1031 -0.9676
Sr 10.4075 3.4007 3.7348
Sr 1.6708 3.4007 5.0020
Sr 2.6976 0.6336 7.7691
Sr 6.0391 8.1031 0.9676
Sr 7.0660 5.3360 3.7348
Sr -1.6708 5.3360 5.0020
Sr 6.0391 0.6336 9.7044
Sr 0.6336 7.7691 2.6976
Sr 3.7348 -1.6708 12.1375
Sr -0.9676 2.6976 8.1031
Sr 5.3360 3.7348 7.0660
Sr 0.9676 11.4343 0.6336
Sr 3.4007 13.7387 -1.6708
Sr 3.7348 7.0660 5.3360
Sr 0.6336 0.9676 11.4343
Sr 3.7348 10.4075 3.4007
Sr 9.3703 7.7691 6.0391
Sr 0.9676 6.0391 8.1031
Sr 3.4007 3.7348 10.4075
Sr -3.4007 5.0020 10.4075
Sr 7.7691 6.0391 9.3703
Sr -5.0020 10.4075 5.3360
Sr 0.6336 9.7044 6.0391
Sr -1.6708 12.1375 3.7348
Sr -2.6976 8.1031 7.7691
Sr -1.6708 3.4007 13.7387
Sr 6.0391 9.3703 7.7691
In 4.3684 2.1842 0.0000
In 8.7367 4.3684 -2.1842
In 2.1842 0.0000 4.3684
In 10.9209 0.0000 4.3684
In 0.0000 4.3684 2.1842
In 4.3684 -2.1842 8.7367
In 4.3684 10.9209 0.0000
In 8.7367 4.3684 6.5525
In -2.1842 8.7367 4.3684
In 6.5525 8.7367 4.3684
In 0.0000 4.3684 10.9209
In 4.3684 6.5525 8.7367
H 0.0000 0.0000 0.0000
H 4.3684 4.3684 -4.3684
H 4.3684 -4.3684 4.3684
H 8.7367 0.0000 0.0000
H 13.1051 2.1842 0.0000
H 8.7367 -4.3684 6.5525
H 6.5525 8.7367 -4.3684
H 6.5525 0.0000 4.3684
H 4.3684 6.5525 0.0000
H 8.7367 4.3684 2.1842
H -4.3684 4.3684 4.3684
H 0.0000 8.7367 0.0000
H 0.0000 0.0000 8.7367
H 4.3684 4.3684 4.3684
H 0.0000 4.3684 6.5525
H 4.3684 2.1842 8.7367
H 2.1842 8.7367 4.3684
H 2.1842 0.0000 13.1051
H 0.0000 13.1051 2.1842
H -4.3684 6.5525 8.7367
```



No. 7
VASP calculation (GGA-PBE) on crystalline Sr4In2H at its relaxed geometry.

Calculated values
Energy above the most stable polymorph in this dataset (eV per atom): 0.0000

extended XYZ file:
```
14
Lattice="7.3528 0.0000 0.0000 0.0000 7.6184 0.0000 -2.0523 0.0000 8.5983" Properties=species:S:1:pos:R:3 pbc="T T T"
Sr -0.2459 0.0996 2.4540
Sr -0.2459 3.7096 2.4540
Sr 2.4501 5.7138 0.3399
Sr 1.9028 5.7138 5.4552
Sr 3.3977 1.9046 3.1431
Sr 2.8504 1.9046 8.2585
Sr 5.5464 3.9088 6.1444
Sr 5.5464 7.5188 6.1444
In -0.5457 1.9046 8.5823
In 0.9035 1.9046 5.4923
In 4.3970 5.7138 3.1061
In 5.8462 5.7138 0.0160
H -0.2582 5.7138 6.6010
H 5.5587 1.9046 1.9974
```



No. 8
VASP calculation (GGA-PBE) on crystalline Sr3InH at its relaxed geometry.

Calculated values
Energy above the most stable polymorph in this dataset (eV per atom): 0.0217

extended XYZ file:
```
5
Lattice="5.3499 0.0000 0.0000 0.0000 5.3499 0.0000 0.0000 0.0000 5.3499" Properties=species:S:1:pos:R:3 pbc="T T T"
Sr 0.0000 0.0000 2.6750
Sr 0.0000 2.6750 0.0000
Sr 2.6750 0.0000 0.0000
In 2.6750 2.6750 2.6750
H 0.0000 0.0000 0.0000
```



No. 9
VASP calculation (GGA-PBE) on crystalline Sr2InH8 at its relaxed geometry.

Calculated values
E (eV per atom): -3.031

extended XYZ file:
```
11
Lattice="7.4427 -2.0127 0.0000 7.4427 2.0127 0.0000 -1.3694 0.0000 4.3567" Properties=species:S:1:pos:R:3 pbc="T T T"
Sr 2.1702 0.0000 0.6936
Sr 11.3459 0.0000 3.6631
In 6.7580 0.0000 2.1784
H -1.0401 0.0000 3.3357
H 2.4351 0.0000 3.1728
H 5.7394 0.0000 0.5883
H 5.0979 0.0000 3.0620
H 8.4181 0.0000 1.2947
H 7.7766 0.0000 3.7684
H 11.0809 0.0000 1.1839
H 14.5561 0.0000 1.0211
```



No. 10
VASP calculation (GGA-PBE) on crystalline Sr3InH at its relaxed geometry.

Calculated values
Energy above the most stable polymorph in this dataset (eV per atom): 0.0000

extended XYZ file:
```
10
Lattice="2.1559 -7.4815 0.0000 2.1559 7.4815 0.0000 0.0000 0.0000 10.7364" Properties=species:S:1:pos:R:3 pbc="T T T"
Sr 2.1559 6.7843 8.0523
Sr 2.1559 2.1505 6.0961
Sr 2.1559 2.1505 10.0085
Sr 2.1559 -2.1505 0.7279
Sr 2.1559 -2.1505 4.6403
Sr 2.1559 -6.7843 2.6841
In 2.1559 3.4245 2.6841
In 2.1559 -3.4245 8.0523
H 2.1559 0.5809 8.0523
H 2.1559 -0.5809 2.6841
```



No. 11
VASP calculation (GGA-PBE) on crystalline Sr3InH at its relaxed geometry.

Calculated values
Energy above the most stable polymorph in this dataset (eV per atom): 0.0639

extended XYZ file:
```
10
Lattice="7.0555 -2.0457 0.0000 7.0555 2.0457 0.0000 -2.7719 0.0000 11.5141" Properties=species:S:1:pos:R:3 pbc="T T T"
Sr 1.0326 0.0000 2.1669
Sr 0.7407 0.0000 6.8628
Sr 4.7126 0.0000 1.2998
Sr 6.6265 0.0000 10.2143
Sr 10.5984 0.0000 4.6513
Sr 10.3065 0.0000 9.3471
In 4.9442 0.0000 7.1418
In 6.3950 0.0000 4.3722
H 1.4049 0.0000 9.4425
H 9.9342 0.0000 2.0716
```



No. 12
VASP calculation (GGA-PBE) on crystalline Sr6In3H at its relaxed geometry.

Calculated values
E (eV per atom): -2.495

extended XYZ file:
```
20
Lattice="6.5948 -7.8371 0.0000 6.5948 7.8371 0.0000 0.0000 0.0000 7.0349" Properties=species:S:1:pos:R:3 pbc="T T T"
Sr 6.5948 6.5433 3.5174
Sr 4.5588 3.1985 5.0228
Sr 3.6319 0.6237 1.3494
Sr 6.5948 3.0983 1.5770
Sr 3.6319 -0.6237 4.8669
Sr 8.6307 3.1985 5.0228
Sr 4.5588 -3.1985 1.5054
Sr 9.5576 0.6237 1.3494
Sr 6.5948 -3.0983 5.0945
Sr 9.5576 -0.6237 4.8669
Sr 8.6307 -3.1985 1.5054
Sr 6.5948 -6.5433 0.0000
In 5.0700 5.8960 0.2440
In 8.1195 5.8960 0.2440
In 6.5948 0.2981 6.4823
In 6.5948 -0.2981 2.9648
In 5.0700 -5.8960 3.7615
In 8.1195 -5.8960 3.7615
H 6.5948 4.0153 3.8368
H 6.5948 -4.0153 0.3194
```